(1)
Computed, not measured: Nd6TmMg2 after structural relaxation at the PBE level of DFT.

Values from the calculation:
V, A^3/atom: 32.03
Energy, eV/atom: -3.97
Magnetic moment, μB per formula unit: 0.0

Cell and atoms, written as CIF:
```
data_Nd6TmMg2
_chemical_formula_sum 'Nd12 Tm2 Mg4'
_space_group_name_H-M_alt 'C 2 2 2'
_space_group_IT_number 21
_space_group_name_Hall 'C 2 2'
_cell_length_a 6.181
_cell_length_b 10.589
_cell_length_c 8.808
_cell_angle_alpha 90.00
_cell_angle_beta 90.00
_cell_angle_gamma 90.00
loop_
_atom_site_label
_atom_site_type_symbol
_atom_site_fract_x
_atom_site_fract_y
_atom_site_fract_z
Nd1 Nd 0.000 0.174 0.000
Nd2 Nd 0.243 0.416 0.665
Tm1 Tm 0.000 0.500 0.000
Mg1 Mg 0.250 0.250 0.330
```

(2)
Computed, not measured: Nd3Tm12Mg after structural relaxation at the PBE level of DFT.

Values from the calculation:
V, A^3/atom: 30.63
Energy, eV/atom: -4.32
Magnetic moment, μB per formula unit: 0.0

Cell and atoms, written as CIF:
```
data_Nd3Tm12Mg
_chemical_formula_sum 'Nd3 Tm12 Mg1'
_space_group_name_H-M_alt 'P 4/m m m'
_space_group_IT_number 123
_space_group_name_Hall '-P 4 2'
_cell_length_a 4.968
_cell_length_b 4.968
_cell_length_c 19.853
_cell_angle_alpha 90.00
_cell_angle_beta 90.00
_cell_angle_gamma 90.00
loop_
_atom_site_label
_atom_site_type_symbol
_atom_site_fract_x
_atom_site_fract_y
_atom_site_fract_z
Nd1 Nd 0.000 0.000 0.000
Nd2 Nd 0.000 0.000 0.252
Tm1 Tm 0.000 0.500 0.127
Tm2 Tm 0.000 0.500 0.379
Tm3 Tm 0.500 0.500 0.000
Tm4 Tm 0.500 0.500 0.256
Tm5 Tm 0.500 0.500 0.500
Mg1 Mg 0.000 0.000 0.500
```

(3)
Computed, not measured: Nd4Tm5Mg2 after structural relaxation at the PBE level of DFT.

Values from the calculation:
V, A^3/atom: 30.91
Energy, eV/atom: -4.04
Magnetic moment, μB per formula unit: 0.0

Cell and atoms, written as CIF:
```
data_Nd4Tm5Mg2
_chemical_formula_sum 'Nd4 Tm5 Mg2'
_space_group_name_H-M_alt 'P -1'
_space_group_IT_number 2
_space_group_name_Hall '-P 1'
_cell_length_a 3.514
_cell_length_b 8.185
_cell_length_c 12.102
_cell_angle_alpha 89.48
_cell_angle_beta 89.99
_cell_angle_gamma 77.62
loop_
_atom_site_label
_atom_site_type_symbol
_atom_site_fract_x
_atom_site_fract_y
_atom_site_fract_z
Nd1 Nd 0.057 0.387 0.299
Nd2 Nd 0.365 0.769 0.179
Tm1 Tm 0.000 0.500 0.000
Tm2 Tm 0.254 0.990 0.627
Tm3 Tm 0.318 0.866 0.903
Mg1 Mg 0.412 0.679 0.457
```

(4)
Computed, not measured: Nd2TmMg2 after structural relaxation at the PBE level of DFT.

Values from the calculation:
V, A^3/atom: 29.53
Energy, eV/atom: -3.50
Magnetic moment, μB per formula unit: 0.0

Cell and atoms, written as CIF:
```
data_Nd2TmMg2
_chemical_formula_sum 'Nd4 Tm2 Mg4'
_space_group_name_H-M_alt 'P 1 21/m 1'
_space_group_IT_number 11
_space_group_name_Hall '-P 2yb'
_cell_length_a 3.835
_cell_length_b 5.456
_cell_length_c 14.244
_cell_angle_alpha 90.00
_cell_angle_beta 97.76
_cell_angle_gamma 90.00
loop_
_atom_site_label
_atom_site_type_symbol
_atom_site_fract_x
_atom_site_fract_y
_atom_site_fract_z
Nd1 Nd 0.046 0.250 0.091
Nd2 Nd 0.236 0.250 0.473
Tm1 Tm 0.150 0.750 0.300
Mg1 Mg 0.360 0.750 0.720
Mg2 Mg 0.445 0.250 0.889
```